No. 1
Material: RuRh2Pb
Method: DFT, PBEsol
State: optimized geometry

Unit cell a=3.9289 b=3.9289 c=4.0050 alpha=90.00 beta=90.00 gamma=90.00
Last column: nearest neighbours and their distance in Å.
Fractional coordinates of all 4 atoms:
Rh 0.0000 0.5000 0.0000  4 Rh 2.78, 4 Pb 2.81, 4 Ru 2.81
Rh 0.5000 0.0000 0.0000  4 Rh 2.78, 4 Pb 2.81, 4 Ru 2.81
Pb 0.0000 0.0000 0.5000  4 Ru 2.78, 8 Rh 2.81
Ru 0.5000 0.5000 0.5000  4 Pb 2.78, 8 Rh 2.81

Calculated values
energy of formation = 0.310 eV/atom
D(E_F) = 5.63 states/eV per cell
M_tot = 0.0 μB per cell
space group = P4/mmm (123)

No. 2
Material: Na3SO4F
Method: DFT, PBEsol
State: optimized geometry

Unit cell a=6.9468 b=11.4103 c=18.0573 alpha=107.75 beta=90.00 gamma=90.00
Last column: nearest neighbours and their distance in Å.
Fractional coordinates of all 108 atoms:
Na 0.5000 0.5000 0.5000  4 O 2.33-2.47, 2 F 2.34
Na 0.2500 0.6022 0.3854  2 F 2.30-2.35, 4 O 2.37-2.48
Na 0.2500 0.1842 0.1480  2 F 2.32-2.36, 4 O 2.35-2.46
Na 0.5000 0.2679 0.7561  2 F 2.31-2.33, 4 O 2.37-2.42
Na 0.7500 0.4382 0.8946  1 F 2.28, 4 O 2.33-2.40
Na 0.0177 0.8115 0.5351  2 F 2.29-2.46, 4 O 2.36-2.51
Na 0.5221 0.5508 0.7737  2 F 2.32-2.37, 3 O 2.37-2.42
Na 0.5177 0.1885 0.4649  2 F 2.29-2.46, 4 O 2.36-2.51
Na 0.5232 0.7082 0.9699  2 F 2.31-2.41, 4 O 2.35-2.43
Na 0.5287 0.0276 0.2788  2 F 2.31-2.37, 4 O 2.31-2.44
Na 0.7500 0.8738 0.1160  2 F 2.23-2.30, 2 O 2.34
Na 0.4779 0.4492 0.2263  2 F 2.32-2.37, 3 O 2.37-2.42
Na 0.0000 0.0000 0.0000  2 F 2.22, 4 O 2.42-2.45
Na 0.7500 0.3978 0.6146  2 F 2.30-2.35, 4 O 2.37-2.48
Na 0.4768 0.2918 0.0301  2 F 2.31-2.41, 4 O 2.35-2.43
Na 0.2500 0.0977 0.6062  1 F 2.26, 4 O 2.37-2.52
Na 0.7500 0.9023 0.3938  1 F 2.26, 4 O 2.37-2.52
Na 0.7500 0.2995 0.3484  1 F 2.24, 3 O 2.39-2.41
Na 0.0000 0.2679 0.7561  2 F 2.31-2.33, 4 O 2.37-2.42
Na 0.4823 0.8115 0.5351  2 F 2.29-2.46, 4 O 2.36-2.51
Na 0.9713 0.0276 0.2788  2 F 2.31-2.37, 4 O 2.31-2.44
Na 0.9823 0.1885 0.4649  2 F 2.29-2.46, 4 O 2.36-2.51
Na 0.4713 0.9724 0.7212  2 F 2.31-2.37, 4 O 2.31-2.44
Na 0.9779 0.5508 0.7737  2 F 2.32-2.37, 3 O 2.37-2.42
Na 0.9768 0.7082 0.9699  2 F 2.31-2.41, 4 O 2.35-2.43
Na 0.0232 0.2918 0.0301  2 F 2.31-2.41, 4 O 2.35-2.43
Na 0.2500 0.5618 0.1054  1 F 2.28, 4 O 2.33-2.40
Na 0.2500 0.7005 0.6516  1 F 2.24, 3 O 2.39-2.41
Na 0.0000 0.5000 0.5000  4 O 2.33-2.47, 2 F 2.34
Na 0.5000 0.7321 0.2439  2 F 2.31-2.33, 4 O 2.37-2.42
Na 0.7500 0.8158 0.8520  2 F 2.32-2.36, 4 O 2.35-2.46
Na 0.0221 0.4492 0.2263  2 F 2.32-2.37, 3 O 2.37-2.42
Na 0.0287 0.9724 0.7212  2 F 2.31-2.37, 4 O 2.31-2.44
Na 0.0000 0.7321 0.2439  2 F 2.31-2.33, 4 O 2.37-2.42
Na 0.2500 0.1262 0.8840  2 F 2.23-2.30, 2 O 2.34
Na 0.5000 0.0000 0.0000  2 F 2.22, 4 O 2.42-2.45
F 0.7500 0.3946 0.7413  5 Na 2.30-2.33
F 0.2500 0.6436 0.5213  6 Na 2.24-2.46
F 0.2500 0.9083 0.6219  5 Na 2.26-2.31
F 0.2500 0.6054 0.2587  5 Na 2.30-2.33
F 0.7500 0.8622 0.2371  5 Na 2.23-2.37
F 0.7500 0.3564 0.4787  6 Na 2.24-2.46
F 0.2500 0.3738 0.1251  6 Na 2.28-2.37
F 0.2500 0.1378 0.7629  5 Na 2.23-2.37
F 0.7500 0.8751 0.9891  6 Na 2.22-2.41
F 0.7500 0.6262 0.8749  6 Na 2.28-2.37
F 0.2500 0.1249 0.0109  6 Na 2.22-2.41
F 0.7500 0.0917 0.3781  5 Na 2.26-2.31
O 0.2500 0.3495 0.6961  1 S 1.49
O 0.2500 0.3369 0.2753  1 S 1.49
O 0.4246 0.4659 0.6254  1 S 1.49
O 0.4250 0.4458 0.8654  1 S 1.49
O 0.4256 0.2229 0.3470  1 S 1.48
O 0.0750 0.4458 0.8654  1 S 1.49
O 0.9256 0.7771 0.6530  1 S 1.48
O 0.7500 0.3177 0.2202  1 S 1.49
O 0.2500 0.0393 0.4623  1 S 1.49
O 0.0756 0.8727 0.0816  1 S 1.49
O 0.7500 0.6435 0.0483  1 S 1.49
O 0.2500 0.3565 0.9517  1 S 1.49
O 0.5754 0.5341 0.3746  1 S 1.49
O 0.0746 0.9030 0.3533  1 S 1.49
O 0.7500 0.6631 0.7247  1 S 1.49
O 0.9246 0.5341 0.3746  1 S 1.49
O 0.2500 0.0018 0.1935  1 S 1.49
O 0.2500 0.7795 0.1660  1 S 1.49
O 0.5746 0.0970 0.6467  1 S 1.49
O 0.7500 0.4216 0.0242  1 S 1.50
O 0.7500 0.2205 0.8340  1 S 1.49
O 0.7500 0.7205 0.4450  1 S 1.49
O 0.7500 0.5946 0.5830  1 S 1.48
O 0.2500 0.6823 0.7798  1 S 1.49
O 0.4242 0.8220 0.8879  1 S 1.49
O 0.2500 0.2795 0.5550  1 S 1.49
O 0.5756 0.1273 0.9184  1 S 1.49
O 0.5750 0.5542 0.1346  1 S 1.49
O 0.2500 0.8186 0.4413  1 S 1.49
O 0.7500 0.9982 0.8065  1 S 1.49
O 0.9242 0.1780 0.1121  1 S 1.49
O 0.4244 0.8727 0.0816  1 S 1.49
O 0.0758 0.8220 0.8879  1 S 1.49
O 0.5744 0.7771 0.6530  1 S 1.48
O 0.0744 0.2229 0.3470  1 S 1.48
O 0.7500 0.0972 0.2024  1 S 1.49
O 0.9244 0.1273 0.9184  1 S 1.49
O 0.7500 0.6505 0.3039  1 S 1.49
O 0.7500 0.9607 0.5377  1 S 1.49
O 0.2500 0.9028 0.7976  1 S 1.49
O 0.0754 0.4659 0.6254  1 S 1.49
O 0.4254 0.9030 0.3533  1 S 1.49
O 0.7500 0.1814 0.5587  1 S 1.49
O 0.5758 0.1780 0.1121  1 S 1.49
O 0.9254 0.0970 0.6467  1 S 1.49
O 0.2500 0.4054 0.4170  1 S 1.48
O 0.9250 0.5542 0.1346  1 S 1.49
O 0.2500 0.5784 0.9758  1 S 1.50
S 0.2500 0.8074 0.8382  4 O 1.49
S 0.2500 0.2967 0.3463  4 O 1.48-1.49
S 0.2500 0.3900 0.6251  4 O 1.49
S 0.2500 0.9160 0.4023  4 O 1.49
S 0.2500 0.8815 0.1306  4 O 1.49
S 0.7500 0.7033 0.6537  4 O 1.48-1.49
S 0.7500 0.6100 0.3749  4 O 1.49
S 0.7500 0.1926 0.1618  4 O 1.49
S 0.7500 0.1185 0.8694  4 O 1.49
S 0.2500 0.4560 0.9143  4 O 1.49-1.50
S 0.7500 0.0840 0.5977  4 O 1.49
S 0.7500 0.5440 0.0857  4 O 1.49-1.50

Calculated values
offset from the most stable computed form = 0.00 eV per formula unit
E_form (uncorrected) = -18.4 eV per formula unit
D(E_F) = 0.00 states/eV per cell
M_tot = 0.0 μB per cell
space group = P2_1/m (11)

No. 3
Material: ZrSbRu2
Method: DFT, PBEsol
State: optimized geometry

Unit cell a=3.2998 b=3.2998 c=6.1761 alpha=90.00 beta=90.00 gamma=90.00
Last column: nearest neighbours and their distance in Å.
Fractional coordinates of all 4 atoms:
Sb 0.5000 0.5000 0.0000  8 Ru 2.79, 2 Zr 3.09
Zr 0.5000 0.5000 0.5000  8 Ru 2.81, 2 Sb 3.09
Ru 0.0000 0.0000 0.7521  4 Sb 2.79, 4 Zr 2.81, 2 Ru 3.06-3.11
Ru 0.0000 0.0000 0.2479  4 Sb 2.79, 4 Zr 2.81, 2 Ru 3.06-3.11

Calculated values
E_form (uncorrected) = -1.2 eV per formula unit
D(E_F) = 4.51 states/eV per cell
M_tot = 0.2 μB per cell
space group = P4/mmm (123)

No. 4
Material: Na3CdBr
Method: DFT, PBEsol
State: optimized geometry

Unit cell a=5.7294 b=5.7294 c=5.7294 alpha=90.00 beta=90.00 gamma=90.00
Last column: nearest neighbours and their distance in Å.
Fractional coordinates of all 5 atoms:
Na 0.0000 0.0000 0.5000  2 Cd 2.86
Na 0.0000 0.5000 0.0000  2 Cd 2.86
Na 0.5000 0.0000 0.0000  2 Cd 2.86
Cd 0.0000 0.0000 0.0000  6 Na 2.86
Br 0.5000 0.5000 0.5000  12 Na 4.05

Calculated values
E_form (uncorrected) = -0.5 eV per formula unit
D(E_F) = 4.73 states/eV per cell
M_tot = 0.0 μB per cell
space group = Pm-3m (221)

No. 5
Material: Zn2InTc
Method: DFT, PBEsol
State: optimized geometry

Unit cell a=2.7622 b=4.2412 c=5.4263 alpha=90.00 beta=102.90 gamma=90.00
Last column: nearest neighbours and their distance in Å.
Fractional coordinates of all 4 atoms:
In 0.9534 0.0000 0.4973  3 Zn 2.59-2.84, 2 In 2.76
Zn 0.1596 0.0000 0.9865  4 Zn 2.50-2.76, 1 In 2.59, 4 Tc 2.74-2.77
Zn 0.3042 0.5000 0.2352  4 Zn 2.50-2.76, 1 Tc 2.74
Tc 0.5828 0.5000 0.7810  7 Zn 2.74-2.89, 2 Tc 2.76, 4 In 2.94-2.95

Calculated values
energy of formation = 0.204 eV/atom
D(E_F) = 1.87 states/eV per cell
M_tot = 0.0 μB per cell
space group = Pm (6)

No. 6
Material: Tc4Rh5
Method: DFT, PBEsol
State: optimized geometry

Unit cell a=3.8069 b=5.9850 c=5.9850 alpha=84.19 beta=71.46 gamma=71.46
Last column: nearest neighbours and their distance in Å.
Fractional coordinates of all 9 atoms:
Rh 0.3318 0.0000 0.3365  6 Rh 2.66-2.70, 6 Tc 2.66-2.70
Rh 0.3318 0.3365 0.0000  6 Rh 2.66-2.70, 6 Tc 2.66-2.70
Rh 0.6682 0.0000 0.6635  6 Rh 2.66-2.70, 6 Tc 2.66-2.70
Rh 0.6682 0.6635 0.0000  6 Rh 2.66-2.70, 6 Tc 2.66-2.70
Rh 0.0000 0.0000 0.0000  8 Rh 2.70, 4 Tc 2.71
Tc 0.6628 0.3372 0.3372  5 Tc 2.61-2.65, 7 Rh 2.66-2.71
Tc 0.0000 0.3372 0.6628  5 Tc 2.61-2.65, 7 Rh 2.66-2.71
Tc 0.3372 0.6628 0.6628  5 Tc 2.61-2.65, 7 Rh 2.66-2.71
Tc 0.0000 0.6628 0.3372  5 Tc 2.61-2.65, 7 Rh 2.66-2.71

Calculated values
energy of formation = -0.091 eV/atom
D(E_F) = 9.12 states/eV per cell
M_tot = 0.0 μB per cell
space group = I4/mmm (139)

No. 7
Material: RbInF2
Method: DFT, PBEsol
State: optimized geometry

Unit cell a=6.0763 b=6.0763 c=7.2438 alpha=114.80 beta=114.80 gamma=90.00
Last column: nearest neighbours and their distance in Å.
Fractional coordinates of all 8 atoms:
F 0.9015 0.3750 0.2500  2 In 2.51, 2 Rb 2.69
F 0.6250 0.6515 0.7500  2 In 2.51, 2 Rb 2.69
F 0.1250 0.0985 0.7500  2 In 2.51, 2 Rb 2.69
F 0.3485 0.8750 0.2500  2 In 2.51, 2 Rb 2.69
In 0.0000 0.0000 0.0000  4 F 2.51
In 0.2500 0.7500 0.5000  4 F 2.51
Rb 0.5000 0.5000 0.0000  4 F 2.69
Rb 0.7500 0.2500 0.5000  4 F 2.69

Calculated values
offset from the most stable computed form = 0.00 eV per formula unit
E_form (uncorrected) = -8.1 eV per formula unit
D(E_F) = 0.00 states/eV per cell
M_tot = 0.0 μB per cell
space group = I-42d (122)

No. 8
Material: Rb2PO3F
Method: DFT, PBEsol
State: optimized geometry

Unit cell a=6.1007 b=7.8804 c=10.4580 alpha=90.00 beta=90.00 gamma=90.00
Last column: nearest neighbours and their distance in Å.
Fractional coordinates of all 28 atoms:
F 0.7500 0.4670 0.5645  1 P 1.66
F 0.2500 0.5330 0.4355  1 P 1.66
F 0.2500 0.0330 0.0645  1 P 1.66
F 0.7500 0.9670 0.9355  1 P 1.66
Rb 0.2500 0.6724 0.0778  1 F 2.84, 7 O 3.07-3.15
Rb 0.7500 0.4945 0.2833  6 O 2.80-2.97, 1 F 2.95
Rb 0.7500 0.3276 0.9222  1 F 2.84, 7 O 3.07-3.15
Rb 0.2500 0.5055 0.7167  6 O 2.80-2.97, 1 F 2.95
Rb 0.2500 0.0055 0.7833  6 O 2.80-2.97, 1 F 2.95
Rb 0.2500 0.1724 0.4222  1 F 2.84, 7 O 3.07-3.15
Rb 0.7500 0.9945 0.2167  6 O 2.80-2.97, 1 F 2.95
Rb 0.7500 0.8276 0.5778  1 F 2.84, 7 O 3.07-3.15
P 0.2500 0.2421 0.0854  3 O 1.52, 1 F 1.66
P 0.2500 0.7421 0.4146  3 O 1.52, 1 F 1.66
P 0.7500 0.2579 0.5854  3 O 1.52, 1 F 1.66
P 0.7500 0.7579 0.9146  3 O 1.52, 1 F 1.66
O 0.0398 0.7726 0.3405  1 P 1.52
O 0.2500 0.8109 0.5505  1 P 1.52
O 0.5398 0.7274 0.8405  1 P 1.52
O 0.5398 0.2274 0.6595  1 P 1.52
O 0.7500 0.6891 0.0505  1 P 1.52
O 0.0398 0.2726 0.1595  1 P 1.52
O 0.4602 0.7726 0.3405  1 P 1.52
O 0.2500 0.3109 0.9495  1 P 1.52
O 0.9602 0.7274 0.8405  1 P 1.52
O 0.7500 0.1891 0.4495  1 P 1.52
O 0.9602 0.2274 0.6595  1 P 1.52
O 0.4602 0.2726 0.1595  1 P 1.52

Calculated values
E_form (uncorrected) = -16.9 eV per formula unit
D(E_F) = 0.00 states/eV per cell
M_tot = 0.0 μB per cell
space group = Pnma (62)

No. 9
Material: Li6NiCl8
Method: DFT, PBEsol
State: optimized geometry

Unit cell a=7.1224 b=7.1224 c=7.1224 alpha=60.00 beta=60.00 gamma=60.00
Last column: nearest neighbours and their distance in Å.
Fractional coordinates of all 15 atoms:
Cl 0.7641 0.2359 0.7641  1 Ni 2.38, 4 Li 2.52
Cl 0.2359 0.2359 0.7641  1 Ni 2.38, 4 Li 2.52
Cl 0.7641 0.7641 0.2359  1 Ni 2.38, 4 Li 2.52
Cl 0.2500 0.2500 0.2500  6 Li 2.52
Cl 0.7500 0.7500 0.7500  6 Li 2.52
Cl 0.2359 0.7641 0.7641  1 Ni 2.38, 4 Li 2.52
Cl 0.2359 0.7641 0.2359  1 Ni 2.38, 4 Li 2.52
Cl 0.7641 0.2359 0.2359  1 Ni 2.38, 4 Li 2.52
Li 0.5000 0.0000 0.0000  6 Cl 2.52
Li 0.0000 0.0000 0.5000  6 Cl 2.52
Li 0.5000 0.0000 0.5000  6 Cl 2.52
Li 0.0000 0.5000 0.0000  6 Cl 2.52
Li 0.0000 0.5000 0.5000  6 Cl 2.52
Li 0.5000 0.5000 0.0000  6 Cl 2.52
Ni 0.0000 0.0000 0.0000  6 Cl 2.38

Calculated values
E_form (uncorrected) = -23.7 eV per formula unit
M_tot = 1.9 μB per cell
space group = Fm-3m (225)

No. 10
Material: LiCa2Te
Method: DFT, PBEsol
State: optimized geometry

Unit cell a=4.4579 b=4.4579 c=6.6735 alpha=109.51 beta=109.51 gamma=90.00
Last column: nearest neighbours and their distance in Å.
Fractional coordinates of all 4 atoms:
Te 0.2500 0.7500 0.5000  4 Ca 3.15
Ca 0.7500 0.2500 0.5000  4 Te 3.15
Ca 0.0000 0.0000 0.0000  4 Li 3.15
Li 0.5000 0.5000 0.0000  4 Ca 3.15

Calculated values
E_form (uncorrected) = -2.3 eV per formula unit
D(E_F) = 3.87 states/eV per cell
M_tot = 0.0 μB per cell
space group = I-4m2 (119)

No. 11
Material: Ba4DyCu3O9
Method: DFT, PBEsol
State: optimized geometry

Unit cell a=8.0306 b=8.0306 c=8.0306 alpha=90.00 beta=90.00 gamma=90.00
Last column: nearest neighbours and their distance in Å.
Fractional coordinates of all 34 atoms:
O 0.5000 0.7733 0.5000  1 Cu 1.82
O 0.5000 0.2500 0.0000  2 Cu 2.01
O 0.7267 0.0000 0.0000  1 Cu 1.82
O 0.5000 0.5000 0.7733  1 Cu 1.82
O 0.7733 0.5000 0.5000  1 Cu 1.82
O 0.2267 0.5000 0.5000  1 Cu 1.82
O 0.0000 0.5000 0.7500  2 Cu 2.01
O 0.5000 0.5000 0.2267  1 Cu 1.82
O 0.2500 0.0000 0.5000  2 Cu 2.01
O 0.0000 0.0000 0.7267  1 Cu 1.82
O 0.0000 0.2733 0.0000  1 Cu 1.82
O 0.0000 0.5000 0.2500  2 Cu 2.01
O 0.0000 0.0000 0.2733  1 Cu 1.82
O 0.2733 0.0000 0.0000  1 Cu 1.82
O 0.5000 0.2267 0.5000  1 Cu 1.82
O 0.7500 0.0000 0.5000  2 Cu 2.01
O 0.0000 0.7267 0.0000  1 Cu 1.82
O 0.5000 0.7500 0.0000  2 Cu 2.01
Ba 0.2500 0.2500 0.7500  9 O 2.84-2.85
Ba 0.2500 0.2500 0.2500  9 O 2.84-2.85
Ba 0.7500 0.7500 0.7500  9 O 2.84-2.85
Ba 0.2500 0.7500 0.7500  9 O 2.84-2.85
Ba 0.7500 0.7500 0.2500  9 O 2.84-2.85
Ba 0.2500 0.7500 0.2500  9 O 2.84-2.85
Ba 0.7500 0.2500 0.7500  9 O 2.84-2.85
Ba 0.7500 0.2500 0.2500  9 O 2.84-2.85
Cu 0.5000 0.0000 0.0000  4 O 1.82-2.01
Cu 0.0000 0.5000 0.0000  4 O 1.82-2.01
Cu 0.5000 0.5000 0.0000  4 O 1.82-2.01
Cu 0.5000 0.0000 0.5000  4 O 1.82-2.01
Cu 0.0000 0.5000 0.5000  4 O 1.82-2.01
Cu 0.0000 0.0000 0.5000  4 O 1.82-2.01
Dy 0.0000 0.0000 0.0000  6 O 2.19
Dy 0.5000 0.5000 0.5000  6 O 2.19

Calculated values
E_form (uncorrected) = -35.1 eV per formula unit
D(E_F) = 5.39 states/eV per cell
M_tot = 0.0 μB per cell
space group = Pm-3n (223)

No. 12
Material: LiCrAu
Method: DFT, PBEsol
State: optimized geometry

Unit cell a=3.2151 b=3.3148 c=4.8771 alpha=109.87 beta=109.25 gamma=90.00
Last column: nearest neighbours and their distance in Å.
Fractional coordinates of all 3 atoms:
Au 0.9955 0.9955 0.9910  5 Li 2.66-2.97, 5 Cr 2.72-2.85
Li 0.3407 0.3407 0.6813  5 Au 2.66-2.97, 5 Cr 2.76-2.78
Cr 0.6638 0.6638 0.3277  5 Au 2.72-2.85, 5 Li 2.76-2.78

Calculated values
offset from the most stable computed form = 0.00 eV per formula unit
energy of formation = 0.209 eV/atom
D(E_F) = 2.36 states/eV per cell
M_tot = 4.0 μB per cell
space group = Imm2 (44)

Among the records above, which one has the highest M_tot?
LiCrAu

M_tot of number 8 (Rb2PO3F)?
0.0 μB per cell

What is the M_tot in the ninth record?
1.9 μB per cell